1.
Computed, not measured: a PBEsol-optimized structure of ScIr2Br at the SCAN level of DFT.

VASP energy ... -43.592 eV per atom
Density ... 12.9 g/cm3
Formation energy (no corrections) ... 0.3822 eV/atom
Crystal system ... tetragonal

Geometry as POSCAR:
```
ScIr2Br
1.0
4.559 0.000 0.000
0.000 4.559 0.000
0.000 0.000 3.154
Sc Ir Br
1 2 1
direct
0.000 0.000 0.000
0.000 0.500 0.500
0.500 0.000 0.500
0.500 0.500 0.000
```

2.
Computed, not measured: a PBEsol-optimized structure of Li13Ni15O28 at the SCAN level of DFT.

VASP energy ... -9.620 eV per atom
Density ... 5.1 g/cm3
Formation energy (no corrections) ... -1.6173 eV/atom
Crystal system ... triclinic

Geometry as POSCAR:
```
Li13Ni15O28
1.0
7.579 0.000 0.000
-2.103 7.763 0.000
-2.297 -2.744 7.879
Li Ni O
13 15 28
direct
0.000 0.000 0.000
0.072 0.212 0.787
0.146 0.428 0.574
0.209 0.644 0.356
0.289 0.855 0.144
0.354 0.070 0.926
0.433 0.285 0.716
0.567 0.715 0.284
0.646 0.930 0.074
0.711 0.145 0.856
0.791 0.356 0.644
0.854 0.572 0.426
0.928 0.788 0.213
0.000 0.500 0.000
0.075 0.716 0.787
0.145 0.931 0.574
0.212 0.141 0.356
0.281 0.359 0.143
0.363 0.572 0.928
0.430 0.786 0.717
0.500 0.000 0.500
0.500 0.500 0.500
0.570 0.214 0.283
0.637 0.428 0.072
0.719 0.641 0.857
0.788 0.859 0.644
0.855 0.069 0.426
0.925 0.284 0.213
0.002 0.266 0.021
0.073 0.952 0.788
0.092 0.484 0.794
0.131 0.159 0.548
0.155 0.700 0.595
0.217 0.380 0.364
0.232 0.913 0.363
0.264 0.589 0.135
0.295 0.130 0.164
0.367 0.341 0.938
0.374 0.806 0.921
0.421 0.030 0.691
0.450 0.535 0.715
0.488 0.741 0.514
0.512 0.259 0.486
0.550 0.465 0.285
0.579 0.970 0.309
0.626 0.194 0.079
0.633 0.659 0.062
0.705 0.870 0.836
0.736 0.411 0.865
0.768 0.087 0.637
0.783 0.620 0.636
0.845 0.300 0.405
0.869 0.841 0.452
0.908 0.516 0.206
0.927 0.048 0.212
0.998 0.734 0.979
```

3.
Computed, not measured: a PBEsol-optimized structure of AgHgN2F at the SCAN level of DFT.

VASP energy ... -23.157 eV per atom
Density ... 8.4 g/cm3
Formation energy (no corrections) ... 1.1744 eV/atom
Crystal system ... tetragonal

Geometry as POSCAR:
```
AgHgN2F
1.0
4.039 0.000 0.000
0.000 4.039 0.000
0.000 0.000 4.315
Ag Hg N F
1 1 2 1
direct
0.000 0.000 0.000
0.500 0.500 0.500
0.000 0.500 0.000
0.500 0.000 0.000
0.000 0.000 0.500
```

4.
Computed, not measured: a PBEsol-optimized structure of CaTaAs2 at the SCAN level of DFT.

VASP energy ... -29.951 eV per atom
Formation energy ... -3.2 eV/f.u.
Density ... 7.5 g/cm3
Crystal system ... trigonal

Geometry as POSCAR:
```
CaTaAs2
1.0
1.867 1.078 6.801
-1.867 1.078 6.801
0.000 -2.156 6.801
Ca Ta As
1 1 2
direct
0.000 0.000 0.000
0.500 0.500 0.500
0.241 0.241 0.241
0.759 0.759 0.759
```

5.
Computed, not measured: a PBEsol-optimized structure of CrN at the SCAN level of DFT.

VASP energy ... -14.450 eV per atom
Density ... 7.0 g/cm3
Formation energy (no corrections) ... -0.6123 eV/atom
Crystal system ... hexagonal

Geometry as POSCAR:
```
CrN
1.0
2.650 0.000 0.000
-1.325 2.295 0.000
0.000 0.000 2.565
Cr N
1 1
direct
0.000 0.000 0.000
0.333 0.667 0.500
```

6.
Computed, not measured: a PBEsol-optimized structure of VOF at the SCAN level of DFT.

VASP energy ... -11.998 eV per atom
Density ... 4.9 g/cm3
Formation energy (no corrections) ... -2.9116 eV/atom
Crystal system ... orthorhombic

Geometry as POSCAR:
```
VOF
1.0
7.020 0.000 0.000
0.000 3.216 0.000
0.000 0.000 5.132
V O F
4 4 4
direct
0.153 0.250 0.129
0.347 0.750 0.629
0.653 0.250 0.371
0.847 0.750 0.871
0.129 0.750 0.894
0.371 0.250 0.394
0.629 0.750 0.606
0.871 0.250 0.106
0.111 0.750 0.379
0.389 0.250 0.879
0.611 0.750 0.121
0.889 0.250 0.621
```

7.
Computed, not measured: a PBEsol-optimized structure of TeAs at the SCAN level of DFT.

VASP energy ... -28.630 eV per atom
Density ... 6.7 g/cm3
Formation energy (no corrections) ... 0.0913 eV/atom
Crystal system ... monoclinic

Geometry as POSCAR:
```
TeAs
1.0
5.043 0.000 0.000
0.000 4.063 0.000
-1.833 0.000 4.874
Te As
2 2
direct
0.140 0.250 0.357
0.860 0.750 0.643
0.388 0.750 0.106
0.612 0.250 0.894
```

8.
Computed, not measured: a PBEsol-optimized structure of Be2TeWC at the SCAN level of DFT.

VASP energy ... -24.444 eV per atom
Density ... 8.9 g/cm3
Formation energy (no corrections) ... 0.7048 eV/atom
Crystal system ... tetragonal

Geometry as POSCAR:
```
Be2TeWC
1.0
3.875 0.000 0.000
0.000 3.875 0.000
0.000 0.000 4.242
Be Te W C
2 1 1 1
direct
0.000 0.500 0.000
0.500 0.000 0.000
0.000 0.000 0.500
0.500 0.500 0.500
0.500 0.500 0.000
```

9.
Computed, not measured: a PBEsol-optimized structure of Ga2Ag2Bi at the SCAN level of DFT.

VASP energy ... -34.631 eV per atom
Formation energy ... 0.8 eV/f.u.
Density ... 9.4 g/cm3
Crystal system ... tetragonal

Geometry as POSCAR:
```
Ga2Ag2Bi
1.0
7.851 0.000 0.000
0.000 7.851 0.000
0.000 0.000 3.226
Ga Ag Bi
4 4 2
direct
0.167 0.333 0.000
0.333 0.833 0.000
0.667 0.167 0.000
0.833 0.667 0.000
0.128 0.628 0.500
0.372 0.128 0.500
0.628 0.872 0.500
0.872 0.372 0.500
0.000 0.000 0.500
0.500 0.500 0.500
```

10.
Computed, not measured: a PBEsol-optimized structure of LiTcRu2 at the SCAN level of DFT.

VASP energy ... -26.592 eV per atom
Formation energy ... 0.7 eV/f.u.
Density ... 9.2 g/cm3
Crystal system ... trigonal

Geometry as POSCAR:
```
LiTcRu2
1.0
1.334 0.770 8.960
-1.334 0.770 8.960
0.000 -1.540 8.960
Li Tc Ru
1 1 2
direct
0.000 0.000 0.000
0.243 0.243 0.243
0.498 0.498 0.498
0.752 0.752 0.752
```

11.
Computed, not measured: a PBEsol-optimized structure of MoOs at the SCAN level of DFT.

VASP energy ... -53.233 eV per atom
Formation energy ... 0.3 eV/f.u.
Density ... 16.0 g/cm3
Crystal system ... orthorhombic

Geometry as POSCAR:
```
MoOs
1.0
1.374 -5.011 0.000
1.374 5.011 0.000
0.000 0.000 4.316
Mo Os
2 2
direct
0.171 0.829 0.750
0.829 0.171 0.250
0.433 0.567 0.750
0.567 0.433 0.250
```

12.
Computed, not measured: a PBEsol-optimized structure of ZnReAs2 at the SCAN level of DFT.

VASP energy ... -30.744 eV per atom
Formation energy ... 2.0 eV/f.u.
Density ... 10.9 g/cm3
Crystal system ... monoclinic

Geometry as POSCAR:
```
ZnReAs2
1.0
2.760 -3.486 0.000
2.760 3.486 0.000
-0.009 0.000 3.169
Zn Re As
1 1 2
direct
0.000 0.000 0.000
0.500 0.500 0.000
0.000 0.500 0.500
0.500 0.000 0.500
```

13.
Computed, not measured: a PBEsol-optimized structure of TaZnCr2 at the SCAN level of DFT.

VASP energy ... -29.044 eV per atom
Formation energy ... 0.7 eV/f.u.
Density ... 10.7 g/cm3
Crystal system ... cubic

Geometry as POSCAR:
```
TaZnCr2
1.0
0.000 3.005 3.005
3.005 0.000 3.005
3.005 3.005 0.000
Ta Zn Cr
1 1 2
direct
0.000 0.000 0.000
0.750 0.750 0.750
0.250 0.250 0.250
0.500 0.500 0.500
```